[1]
# CuSeO4F

Crystalline CuSeO4F at its relaxed geometry (PBE-GGA, Alexandria via LeMat-Bulk).

- N(E_F): 0.25 states/eV per atom
- Mass density: 3.91 g cm⁻³
- VASP energy: -4.664 eV/atom

Cell lengths 5.2993, 5.5163, 6.6877 Å; angles 90.00, 101.43, 90.00 degrees
With the nearest neighbours (Å) after each atom.
Space group P2_1/m (No. 11)
Asymmetric unit:
Cu 0.2009 0.2500 0.4505 x2  2 O 1.83-1.87
Se 0.3640 0.7500 0.7237 x2  4 O 1.71-1.83, 1 F 1.79
O 0.1541 0.5111 0.6749 x4  1 Se 1.71
O 0.3007 0.2500 0.1970 x2  1 Se 1.75, 1 Cu 1.87
O 0.4484 0.7500 0.4721 x2  1 Se 1.83, 1 Cu 1.83
F 0.3567 0.7500 0.9906 x2  1 Se 1.79

***

[2]
# Rb2HPtAu

Crystalline Rb2HPtAu at its relaxed geometry (PBE-GGA, Alexandria via LeMat-Bulk).

- N(E_F): 0.34 states/eV per atom
- Mass density: 7.05 g cm⁻³
- VASP energy: -3.035 eV/atom

Cell lengths 6.1985, 6.1985, 3.4561 Å; angles 90.00, 90.00, 90.00 degrees
With the nearest neighbours (Å) after each atom.
Space group P4/mmm (No. 123)
Asymmetric unit:
Rb 0.0000 0.5000 0.0000 x2  2 H 3.10, 2 Rb 3.46
H 0.0000 0.0000 0.0000 x1  2 Pt 1.73
Pt 0.0000 0.0000 0.5000 x1  2 H 1.73
Au 0.5000 0.5000 0.5000 x1  2 Au 3.46, 8 Rb 3.55

***

[3]
# Zn2SbW

Crystalline Zn2SbW at its relaxed geometry (PBE-GGA, Alexandria via LeMat-Bulk).

- N(E_F): 0.59 states/eV per atom
- Mass density: 9.85 g cm⁻³
- VASP energy: -4.462 eV/atom

Cell lengths 3.8765, 4.2908, 8.8456 Å; angles 90.00, 90.00, 90.00 degrees
With the nearest neighbours (Å) after each atom.
Space group Cmmm (No. 65)
Asymmetric unit:
Zn 0.0000 0.0000 0.2166 x4  4 W 2.73-2.88, 4 Zn 2.89
Sb 0.0000 0.5000 0.5000 x2  4 Sb 2.89, 4 Zn 3.17
W 0.0000 0.5000 0.0000 x2  8 Zn 2.73-2.88, 4 W 2.89

***

[4]
# Na2CuBiBr6

Crystalline Na2CuBiBr6 at its relaxed geometry (PBE-GGA, Alexandria via LeMat-Bulk).

- Mass density: 4.03 g cm⁻³
- VASP energy: -2.871 eV/atom

Cell lengths 10.9589, 10.9589, 10.9589 Å; angles 90.00, 90.00, 90.00 degrees
With the nearest neighbours (Å) after each atom.
Space group Fm-3m (No. 225)
Asymmetric unit:
Na 0.2500 0.2500 0.2500 x8  12 Br 3.88
Cu 0.0000 0.0000 0.0000 x4  6 Br 2.62
Bi 0.0000 0.0000 0.5000 x4  6 Br 2.86
Br 0.0000 0.0000 0.2388 x24  1 Cu 2.62, 1 Bi 2.86

***

[5]
# TaTc2TeO

Crystalline TaTc2TeO at its relaxed geometry (PBE-GGA, Alexandria via LeMat-Bulk).

- N(E_F): 1.14 states/eV per atom
- Mass density: 10.70 g cm⁻³
- VASP energy: -7.778 eV/atom

Cell lengths 4.0044, 4.0044, 5.0402 Å; angles 90.00, 90.00, 90.00 degrees
With the nearest neighbours (Å) after each atom.
Space group P4/mmm (No. 123)
Asymmetric unit:
Ta 0.0000 0.0000 0.0000 x1  4 Te 2.83
Tc 0.0000 0.5000 0.5000 x2  2 O 2.00
Te 0.5000 0.5000 0.0000 x1  2 O 2.52
O 0.5000 0.5000 0.5000 x1  4 Tc 2.00

***

[6]
# Ac4NpN5

Crystalline Ac4NpN5 at its relaxed geometry (PBE-GGA, Alexandria via LeMat-Bulk).

- N(E_F): 0.67 states/eV per atom
- Mass density: 10.39 g cm⁻³
- VASP energy: -8.163 eV/atom

Cell lengths 8.4753, 8.4753, 5.4091 Å; angles 90.00, 90.00, 90.00 degrees
With the nearest neighbours (Å) after each atom.
Space group I4 (No. 79)
Asymmetric unit:
Ac 0.1026 0.7033 0.0000 x8  5 N 2.65-2.76
Np 0.0000 0.0000 0.5104 x2  5 N 2.28-2.38
N 0.0000 0.0000 0.9511 x2  1 Np 2.38
N 0.0890 0.7467 0.5024 x8  1 Np 2.28